A relaxed structure of SrSb12Rh4, computed with PBE.

abc: 8.1935 8.1935 8.1935
angles: 109.47 109.47 109.47
Closest atoms and distances in Å follow each position.
Positions (direct):
Sr1 0.0000 0.0000 0.0000  12 Sb 3.55
Sb1 0.1568 0.3408 0.4976  2 Rh 2.67, 1 Sb 2.97
Sb2 0.1568 0.6592 0.8159  2 Rh 2.67, 1 Sb 2.97
Sb3 0.1841 0.8432 0.3408  2 Rh 2.67, 1 Sb 2.97
Sb4 0.3408 0.1841 0.8432  2 Rh 2.67, 1 Sb 2.97
Sb5 0.3408 0.4976 0.1568  2 Rh 2.67, 1 Sb 2.97
Sb6 0.4976 0.1568 0.3408  2 Rh 2.67, 1 Sb 2.97
Sb7 0.5024 0.8432 0.6592  2 Rh 2.67, 1 Sb 2.97
Sb8 0.6592 0.5024 0.8432  2 Rh 2.67, 1 Sb 2.97
Sb9 0.6592 0.8159 0.1568  2 Rh 2.67, 1 Sb 2.97
Sb10 0.8159 0.1568 0.6592  2 Rh 2.67, 1 Sb 2.97
Sb11 0.8432 0.3408 0.1841  2 Rh 2.67, 1 Sb 2.97
Sb12 0.8432 0.6592 0.5024  2 Rh 2.67, 1 Sb 2.97
Rh1 0.0000 0.0000 0.5000  6 Sb 2.67
Rh2 0.0000 0.5000 0.0000  6 Sb 2.67
Rh3 0.5000 0.0000 0.0000  6 Sb 2.67
Rh4 0.5000 0.5000 0.5000  6 Sb 2.67

Output
* energy relative to the elements, uncorrected: -0.46 eV per atom
* crystal system: cubic